[1]
Mn6Ru PBE relaxed; density = 8.54 g/cm³; space-group type = Pnma; formation energy = 0.159 eV/atom
1.0
-3.3371 -3.1511 -0.3904
1.5567 -0.7533 -7.2250
6.4319 -7.0746 2.1234
Ru Mn
4 24
Cartesian
2.2371 -3.9329 -0.9656
0.8458 -1.9231 -5.2944
2.4144 -7.0462 -4.5264
3.8057 -9.0560 -0.1976
-0.5478 -3.6023 -7.0035
4.4420 -7.7914 -2.7154
1.8216 -1.6653 -2.5880
4.5640 -6.4211 -0.7718
0.3343 -1.9635 -0.5967
4.3171 -9.0155 -4.8953
3.9064 -5.1287 -5.5820
0.0874 -4.5579 -4.7202
2.8298 -9.3137 -2.9040
3.7123 -5.2618 -2.8489
1.2496 -8.0550 0.4438
0.7450 -5.8503 0.0901
3.4018 -2.9240 -5.9358
0.2094 -3.1876 -2.7766
-1.4791 -2.9246 -4.5137
1.7896 -4.4463 -6.1244
2.8618 -6.5327 0.6324
2.3474 -3.6983 -3.8015
5.1818 -6.6212 -4.4373
-0.5303 -4.3579 -1.0547
5.1993 -7.3768 1.5115
0.9391 -5.7172 -2.6431
2.3041 -7.2808 -1.6904
6.1305 -8.0545 -0.9783

***

[2]
MgSn2Pb4 PBE relaxed; density = 7.56 g/cm³; space-group type = I4/mmm; formation energy = 0.331 eV/atom
1.0
5.5168 0.0000 0.0000
0.0000 5.5168 0.0000
-2.7584 -2.7584 7.8737
Pb Sn Mg
4 2 1
Cartesian
2.7584 0.0000 0.0000
0.0000 0.0000 2.9907
0.0000 2.7584 0.0000
2.7584 2.7584 4.8830
0.0000 0.0000 5.9787
2.7584 2.7584 1.8950
0.0000 0.0000 0.0000

***

[3]
Sm2MnAu PBE relaxed; density = 9.43 g/cm³; energy above the lowest structure with this stoichiometry = 0.0 meV/atom; space-group type = P4/mmm; formation energy = -0.269 eV/atom
1.0
-0.7267 -1.3255 3.3303
-1.9594 -2.6985 -1.5016
5.9699 -4.1422 -0.3460
Au Sm Mn
1 2 1
Cartesian
1.6419 -4.0831 0.7414
4.4977 -3.1207 -0.2606
1.4722 -1.0215 -0.0853
-1.3430 -2.0120 0.9144

***

[4]
Sc4Al3Ag PBE relaxed; density = 3.89 g/cm³; space-group type = Pmmm; formation energy = -0.403 eV/atom
1.0
-1.6281 -0.5435 -2.9250
-2.9100 -3.1345 2.2022
-6.1246 7.1478 2.0810
Sc Ag Al
4 1 3
Cartesian
0.0000 0.0000 0.0000
-2.9985 0.2342 1.6255
-6.0360 3.7791 2.6576
-3.0623 3.5739 1.0405
-2.2690 -1.8390 -0.3614
-5.3313 1.7349 0.6791
-2.3460 1.5162 -0.9420
-5.4066 5.0882 0.0980

***

[5]
NaLaH2 PBE relaxed; density = 3.28 g/cm³; energy above the lowest structure with this stoichiometry = 125.4 meV/atom; space-group type = I-42d
1.0
5.4123 0.0000 0.0000
0.0000 5.4123 0.0000
2.7062 2.7062 5.6682
H Na La
4 2 2
Cartesian
1.0890 4.0592 1.4171
6.7654 7.0295 4.2512
4.0592 3.7952 4.2512
4.3233 1.3531 1.4171
2.7062 2.7062 0.0000
2.7062 5.4123 2.8341
0.0000 0.0000 0.0000
5.4123 2.7062 2.8341

***

[6]
ZnAsIr2 PBE relaxed; density = 14.86 g/cm³; energy above the lowest structure with this stoichiometry = 9.2 meV/atom; space-group type = Pmmm; formation energy = -0.005 eV/atom
1.0
2.9984 0.0000 0.0000
0.0000 3.3124 0.0000
0.0000 0.0000 5.9054
Zn Ir As
1 2 1
Cartesian
1.4992 1.6562 1.4763
0.0000 0.0000 2.9513
0.0000 0.0000 0.0014
1.4992 1.6562 4.4290

***

[7]
PrNdIN PBE relaxed; density = 7.26 g/cm³; energy relative to the elements, uncorrected = -1.187 eV per atom; space-group type = Cm
1.0
-1.4101 0.0546 3.5494
1.3829 -3.2533 -1.4621
7.4705 2.7809 0.8663
Pr I N Nd
1 1 1 1
Cartesian
4.6696 1.4439 2.2167
1.8766 -0.1773 3.1888
6.8680 0.6545 1.0442
1.4606 -2.9482 -1.0472

***

[8]
Hf12SbPb3 PBE relaxed; density = 13.49 g/cm³; energy relative to the elements, uncorrected = -0.063 eV per atom; space-group type = Pmmm
1.0
-5.4560 -0.4278 1.2704
1.3002 -0.4027 5.4483
-0.6492 11.1990 0.9827
Hf Pb Sb
12 3 1
Cartesian
-3.1338 6.7873 1.2496
-0.1607 8.2602 2.0912
-3.4394 -0.5220 3.6764
-2.8088 1.1802 0.7575
-2.9713 3.9839 1.0036
-0.7163 -0.3085 3.0423
0.8117 2.5361 4.3398
0.1594 2.7381 1.6067
-3.2964 9.5911 1.4956
0.4915 8.0582 4.8244
-3.7688 5.0771 4.1688
-1.0362 5.2914 3.5326
0.0000 0.0000 0.0000
-2.2403 2.3855 3.6051
-2.5647 7.9830 4.0963
-0.3246 5.5995 0.4914

***

[9]
LuVRh2 PBE relaxed; density = 10.87 g/cm³; energy above the lowest structure with this stoichiometry = 56.0 meV/atom; space-group type = Fm-3m; formation energy = -0.490 eV/atom
1.0
4.5356 0.0000 0.0000
2.2678 3.9279 0.0000
2.2678 1.3093 3.7033
V Rh Lu
1 2 1
Cartesian
4.5356 2.6186 1.8516
2.2678 1.3093 0.9258
6.8034 3.9279 2.7775
0.0000 0.0000 0.0000

***

[10]
DyEr3Rh8 PBE relaxed; density = 11.60 g/cm³; energy above the lowest structure with this stoichiometry = 24.4 meV/atom; space-group type = P3m1; formation energy = -0.736 eV/atom
1.0
-2.9212 2.2250 -3.8476
-1.5661 -4.5718 2.2212
-4.4887 4.4413 5.9762
Er Rh Dy
3 8 1
Cartesian
-4.1926 4.1483 5.5820
-4.4132 1.8826 0.7633
-2.7665 0.2533 -1.4291
-7.0551 3.2733 1.7629
-4.8452 4.4290 2.5638
-2.1135 -0.0279 1.5885
-6.5061 2.1347 6.1741
-2.9083 -2.3481 2.7157
-5.6165 2.1775 3.6578
-4.2613 -0.0864 3.1853
-4.3908 -1.2189 0.7631
-2.5438 2.5169 3.3868

***

[11]
ZrGeRh2 PBE relaxed; density = 8.82 g/cm³; space-group type = Immm; formation energy = -0.066 eV/atom
1.0
-3.9927 -1.9128 -3.7267
4.7433 -2.5518 2.1161
1.8742 0.9563 5.3909
Zr Rh Ge
1 2 1
Cartesian
3.3087 -0.7978 3.7535
1.5868 -0.3826 1.8001
5.0307 -1.2130 5.7070
0.0000 0.0000 0.0000

***

[12]
BaIr2Os PBE relaxed; density = 15.22 g/cm³; energy above the lowest structure with this stoichiometry = 523.7 meV/atom; space-group type = P4mm; formation energy = 0.643 eV/atom
1.0
3.0352 0.0000 0.0000
0.0000 3.0352 0.0000
0.0000 0.0000 8.4324
Ba Os Ir
1 1 2
Cartesian
1.5176 1.5176 6.3293
0.0000 0.0000 3.6653
0.0000 0.0000 0.4961
1.5176 1.5176 2.1580

***

[13]
MnTePt2 PBE relaxed; density = 10.81 g/cm³; energy relative to the elements, uncorrected = 0.505 eV per atom; space-group type = I-42d
1.0
-0.7779 5.7133 -2.4850
-5.6412 0.4171 2.7248
-1.3304 4.8915 3.7307
Pt Mn Te
4 2 2
Cartesian
-3.9883 2.4380 2.2206
-3.6423 5.9851 3.0026
-6.3773 9.0152 2.8933
-1.4912 4.6055 -0.1753
-5.0906 4.1869 3.2877
-3.2096 3.0652 0.1199
-2.6589 6.8350 0.6828
0.0000 0.0000 0.0000

***

[14]
ScINF2 PBE relaxed; density = 3.79 g/cm³; energy relative to the elements, uncorrected = 0.021 eV per atom; energy above the lowest structure with this stoichiometry = 1599.7 meV/atom; space-group type = P4/mmm
1.0
-1.6336 3.9531 2.3776
-1.7781 -2.8669 3.5450
3.5615 0.2673 2.0026
I F Sc N
1 2 1 1
Cartesian
0.0000 0.0000 0.0000
-0.8891 -1.4335 1.7725
-0.8168 1.9765 1.1888
0.0749 0.6767 3.9626
1.7807 0.1336 1.0013

***

[15]
Be3TlP PBE relaxed; density = 4.69 g/cm³; energy above the lowest structure with this stoichiometry = 786.0 meV/atom; space-group type = Pm-3m; formation energy = 1.431 eV/atom
1.0
4.5284 0.0000 0.0000
0.0000 4.5284 0.0000
0.0000 0.0000 4.5284
Be P Tl
3 1 1
Cartesian
2.2642 0.0000 0.0000
0.0000 2.2642 0.0000
0.0000 0.0000 2.2642
2.2642 2.2642 2.2642
0.0000 0.0000 0.0000

***

[16]
Pm2PrNd4 PBE relaxed; density = 6.71 g/cm³; energy above the lowest structure with this stoichiometry = 0.0 meV/atom; space-group type = Immm; formation energy = 0.090 eV/atom
1.0
-3.0411 -0.4440 1.8842
1.6646 -5.5233 1.3852
6.0297 6.9957 7.9322
Nd Pm Pr
4 2 1
Cartesian
2.9171 3.1130 8.8905
1.7362 -2.0847 2.3110
4.7063 0.1488 7.6312
-0.0530 0.8795 3.5703
1.7071 -1.1837 5.9251
2.9461 2.2121 5.2765
0.0000 0.0000 0.0000

***

[17]
BiOsS2N PBE relaxed; density = 8.78 g/cm³; energy relative to the elements, uncorrected = 0.263 eV per atom; energy above the lowest structure with this stoichiometry = 0.0 meV/atom; space-group type = P4/mmm
1.0
4.9246 0.0000 0.0000
0.0000 4.9246 0.0000
0.0000 0.0000 3.7220
Os S Bi N
1 2 1 1
Cartesian
0.0000 0.0000 0.0000
0.0000 2.4623 0.0000
2.4623 0.0000 0.0000
2.4623 2.4623 1.8610
0.0000 0.0000 1.8610

***

[18]
Re2TeAuC PBE relaxed; density = 14.32 g/cm³; energy relative to the elements, uncorrected = 1.092 eV per atom; space-group type = P4/mmm
1.0
4.1116 0.0000 0.0000
0.0000 4.8634 0.0000
0.0000 0.0000 4.1116
C Re Au Te
1 2 1 1
Cartesian
0.0000 0.0000 0.0000
2.0558 0.0000 0.0000
0.0000 0.0000 2.0558
2.0558 2.4317 2.0558
0.0000 2.4317 0.0000

***

[19]
TiAlIr PBE relaxed; density = 8.28 g/cm³; space-group type = F-43m; formation energy = -0.622 eV/atom
1.0
-0.0865 -1.5712 3.9270
3.3513 -2.0897 1.5165
2.3861 1.7418 3.0282
Ti Ir Al
1 1 1
Cartesian
2.8255 -0.9596 4.2358
1.4127 -0.4798 2.1179
0.0000 0.0000 0.0000

***

[20]
BaAsPPd3 PBE relaxed; density = 6.96 g/cm³; space-group type = Cmcm; formation energy = -0.658 eV/atom
1.0
6.3649 0.0000 0.0000
0.0000 6.9617 0.0000
0.0000 -3.4808 6.0559
P Pd Ba As
2 6 2 2
Cartesian
4.7736 3.4808 5.0267
1.5912 0.0000 1.0293
0.0000 5.5704 0.0000
3.1824 5.5704 0.0000
0.0000 1.3912 0.0000
4.7736 3.4808 2.7571
3.1824 1.3912 0.0000
1.5912 0.0000 3.2989
1.5912 3.4808 3.0160
4.7736 0.0000 3.0400
1.5912 0.0000 5.7091
4.7736 3.4808 0.3469